i.
A plane-wave DFT calculation with PBE was carried out for a relaxed structure of LiPr2Pb2.

abc: 4.7661 6.4289 10.4414
angles: 88.39 76.81 68.24
Last column: magnetic moment on the atom in μB.
Sites, in units of the cell vectors:
Li 0.6383 0.0814 0.6420  0.00
Li 0.3617 0.9186 0.3580  0.00
Pr 0.6751 0.3164 0.3335  0.05
Pr 0.9137 0.2704 0.9023  0.12
Pr 0.3249 0.6836 0.6665  0.05
Pr 0.0863 0.7296 0.0977  0.12
Pb 0.0742 0.2757 0.5759  0.00
Pb 0.6461 0.8322 0.8756  -0.01
Pb 0.9258 0.7243 0.4241  0.00
Pb 0.3539 0.1678 0.1244  -0.01

Properties
Calculated density in kg/m³: 8088

ii.
A plane-wave DFT calculation with PBE was carried out for a relaxed structure of LiPr2Pb2.

abc: 6.6178 6.7891 8.2063
angles: 114.43 113.78 90.00
Sites, in units of the cell vectors:
Li 0.7500 0.5000 0.0000
Li 0.2500 0.5000 0.0000
Pr 0.8630 0.6486 0.7260
Pr 0.1370 0.3514 0.2740
Pr 0.6370 0.9226 0.2740
Pr 0.3630 0.0774 0.7260
Pb 0.3819 0.6150 0.7637
Pb 0.6181 0.3850 0.2363
Pb 0.1181 0.8513 0.2363
Pb 0.8819 0.1487 0.7637

Properties
Calculated density in kg/m³: 7759

Q: Which of them is the most stable? A: i.

i.
A plane-wave DFT calculation with PBE was carried out for a relaxed structure of LiPrTlPb.

abc: 5.3692 5.3692 5.3692
angles: 60.00 60.00 60.00
Sites, in units of the cell vectors:
Pb 0.7500 0.7500 0.7500
Pr 0.5000 0.5000 0.5000
Tl 0.2500 0.2500 0.2500
Li 0.0000 0.0000 0.0000

Properties
Calculated density in kg/m³: 8488

ii.
A plane-wave DFT calculation with PBE was carried out for a relaxed structure of LiPrTlPb.

abc: 4.5943 4.7711 4.9112
angles: 90.00 90.00 90.00
Sites, in units of the cell vectors:
Li 0.0000 0.0000 0.0000
Pr 0.0000 0.5000 0.5000
Tl 0.5000 0.5000 0.0000
Pb 0.5000 0.0000 0.5000

Properties
Calculated density in kg/m³: 8629

Q: Which of them is the most stable? A: ii.

i.
A plane-wave DFT calculation with PBE was carried out for a relaxed structure of LiPtPb2.

abc: 4.4430 4.4291 5.9455
angles: 68.27 68.06 59.90
Sites, in units of the cell vectors:
Li 0.1300 0.8932 0.8469
Pt 0.4748 0.2363 0.8141
Pb 0.9035 0.6646 0.5284
Pb 0.7020 0.4680 0.1280

Properties
Calculated density in kg/m³: 11197

ii.
A plane-wave DFT calculation with PBE was carried out for a relaxed structure of LiPtPb2.

abc: 4.5800 4.5800 5.9915
angles: 67.53 67.53 60.00
Sites, in units of the cell vectors:
Li 0.4974 0.4974 0.5078
Pt 0.6689 0.6689 0.9932
Pb 0.0665 0.0665 0.8004
Pb 0.2671 0.2671 0.1986

Properties
Calculated density in kg/m³: 10480

Q: Which of them is the most stable? A: ii.

i.
A plane-wave DFT calculation with PBE was carried out for a relaxed structure of LiPtPb2.

abc: 4.8063 4.8063 5.7805
angles: 78.80 78.80 44.72
Sites, in units of the cell vectors:
Li 0.2317 0.2317 0.3052
Pb 0.9929 0.9929 0.0656
Pb 0.7701 0.7701 0.6852
Pt 0.5053 0.5053 0.4439

Properties
Calculated density in kg/m³: 11143

ii.
A plane-wave DFT calculation with PBE was carried out for a relaxed structure of LiPtPb2.

abc: 3.5195 3.5190 7.1624
angles: 90.00 90.00 90.00
Sites, in units of the cell vectors:
Li 0.5000 0.5000 0.7500
Pb 0.0000 0.0000 0.0200
Pb 0.0000 0.0000 0.4800
Pt 0.5000 0.5000 0.2500

Properties
Calculated density in kg/m³: 11539

Q: Which of them is the most stable? A: ii.

i.
A plane-wave DFT calculation with PBE was carried out for a relaxed structure of LiPtPb2.

abc: 3.4839 3.4839 7.1934
angles: 90.00 90.00 90.00
Sites, in units of the cell vectors:
Pb 0.0000 0.0000 0.9455
Pb 0.5000 0.5000 0.3073
Pt 0.0000 0.0000 0.5459
Li 0.5000 0.5000 0.7012

Properties
Calculated density in kg/m³: 11723

ii.
A plane-wave DFT calculation with PBE was carried out for a relaxed structure of LiPtPb2.

abc: 7.6694 4.7146 3.8968
angles: 89.48 60.20 127.44
Sites, in units of the cell vectors:
Li 0.5000 0.5000 0.0000
Pb 0.0000 0.0000 0.0000
Pb 0.5000 0.0000 0.5000
Pt 0.0000 0.5000 0.5000

Properties
Calculated density in kg/m³: 11819

iii.
A plane-wave DFT calculation with PBE was carried out for a relaxed structure of LiPtPb2.

abc: 4.3093 3.8909 5.5934
angles: 68.99 90.00 90.00
Sites, in units of the cell vectors:
Pb 0.0000 0.9814 0.9042
Pb 0.5000 0.2748 0.3341
Pt 0.0000 0.6936 0.4901
Li 0.5000 0.5502 0.7715

Properties
Calculated density in kg/m³: 11692

Q: Which of them is the most stable? A: iii.

i.
A plane-wave DFT calculation with PBE was carried out for a relaxed structure of Li3PtPb.

abc: 4.9884 5.2266 7.1167
angles: 90.00 70.97 90.00
Sites, in units of the cell vectors:
Li 0.2300 0.9927 0.0882
Li 0.7700 0.0073 0.9118
Li 0.2300 0.5073 0.0882
Li 0.7700 0.4927 0.9118
Li 0.0982 0.7500 0.5294
Li 0.9018 0.2500 0.4706
Pt 0.5126 0.7500 0.7100
Pt 0.4874 0.2500 0.2900
Pb 0.6930 0.7500 0.2888
Pb 0.3070 0.2500 0.7112

Properties
Calculated density in kg/m³: 8011

ii.
A plane-wave DFT calculation with PBE was carried out for a relaxed structure of Li3PtPb.

abc: 4.7104 4.7104 4.7104
angles: 90.00 90.00 90.00
Sites, in units of the cell vectors:
Pb 0.5000 0.5000 0.5000
Pt 0.0000 0.0000 0.0000
Li 0.0000 0.5000 0.0000
Li 0.0000 0.0000 0.5000
Li 0.5000 0.0000 0.0000

Properties
Calculated density in kg/m³: 6722

Q: Which of them is the most stable? A: i.

i.
A plane-wave DFT calculation with PBE was carried out for a relaxed structure of Li2Pt2Pb.

abc: 7.4655 7.4655 2.9275
angles: 90.00 90.00 90.00
Sites, in units of the cell vectors:
Pb 0.0000 0.0000 0.0000
Pb 0.5000 0.5000 0.0000
Pt 0.1771 0.6771 0.5000
Pt 0.6771 0.8229 0.5000
Pt 0.8229 0.3229 0.5000
Pt 0.3229 0.1771 0.5000
Li 0.3831 0.8831 0.0000
Li 0.8831 0.6169 0.0000
Li 0.6169 0.1169 0.0000
Li 0.1169 0.3831 0.0000

Properties
Calculated density in kg/m³: 12442

ii.
A plane-wave DFT calculation with PBE was carried out for a relaxed structure of Li2Pt2Pb.

abc: 7.4584 7.4584 2.9870
angles: 90.00 90.00 90.00
Sites, in units of the cell vectors:
Pb 0.0000 0.0000 0.0000
Pb 0.5000 0.5000 0.0000
Pt 0.3627 0.8627 0.0000
Pt 0.8627 0.6373 0.0000
Pt 0.6373 0.1373 0.0000
Pt 0.1373 0.3627 0.0000
Li 0.1555 0.6555 0.5000
Li 0.6555 0.8445 0.5000
Li 0.8445 0.3445 0.5000
Li 0.3445 0.1555 0.5000

Properties
Calculated density in kg/m³: 12217

Q: Which of them is the most stable? A: ii.

i.
A plane-wave DFT calculation with PBE was carried out for a relaxed structure of LiPt3Pb.

abc: 4.4223 4.4223 4.4223
angles: 90.00 90.00 90.00
Sites, in units of the cell vectors:
Pb 0.5000 0.5000 0.5000
Pt 0.0000 0.5000 0.0000
Pt 0.0000 0.0000 0.5000
Pt 0.5000 0.0000 0.0000
Li 0.0000 0.0000 0.0000

Properties
Calculated density in kg/m³: 15348

ii.
A plane-wave DFT calculation with PBE was carried out for a relaxed structure of LiPt3Pb.

abc: 5.1164 5.1164 5.1164
angles: 90.00 90.00 90.00
Sites, in units of the cell vectors:
Pb 0.0000 0.0000 0.0000
Pt 0.0000 0.5000 0.0000
Pt 0.0000 0.0000 0.5000
Pt 0.5000 0.0000 0.0000
Li 0.5000 0.5000 0.5000

Properties
Calculated density in kg/m³: 9911

Q: Which of them is the most stable? A: i.

i.
A plane-wave DFT calculation with PBE was carried out for a relaxed structure of LiPtPb3.

abc: 4.4409 6.2868 8.7589
angles: 89.99 90.00 90.00
Sites, in units of the cell vectors:
Li 0.7500 0.5616 0.7500
Li 0.2500 0.4384 0.2500
Pt 0.2500 0.0229 0.2500
Pt 0.7500 0.9771 0.7500
Pb 0.2500 0.7860 0.5538
Pb 0.2500 0.2600 0.7500
Pb 0.2500 0.7859 0.9462
Pb 0.7500 0.2140 0.4462
Pb 0.7500 0.2141 0.0538
Pb 0.7500 0.7400 0.2500

Properties
Calculated density in kg/m³: 11186

ii.
A plane-wave DFT calculation with PBE was carried out for a relaxed structure of LiPtPb3.

abc: 5.4554 5.4554 5.4554
angles: 90.00 90.00 90.00
Sites, in units of the cell vectors:
Pb 0.0000 0.5000 0.0000
Pb 0.0000 0.0000 0.5000
Pb 0.5000 0.0000 0.0000
Pt 0.0000 0.0000 0.0000
Li 0.5000 0.5000 0.5000

Properties
Calculated density in kg/m³: 8424

Q: Which of them is the most stable? A: i.

i.
A plane-wave DFT calculation with PBE was carried out for a relaxed structure of RbLiPtPb2.

abc: 5.4516 5.4516 5.3286
angles: 90.00 90.00 90.00
Sites, in units of the cell vectors:
Pb 0.0000 0.5000 0.0000
Pb 0.5000 0.0000 0.0000
Rb 0.5000 0.5000 0.5000
Pt 0.0000 0.0000 0.0000
Li 0.0000 0.0000 0.5000

Properties
Calculated density in kg/m³: 7360

ii.
A plane-wave DFT calculation with PBE was carried out for a relaxed structure of RbLiPtPb2.

abc: 5.2430 4.8793 5.2430
angles: 90.00 90.00 90.00
Sites, in units of the cell vectors:
Pb 0.0000 0.0000 0.5000
Pb 0.5000 0.0000 0.0000
Rb 0.5000 0.5000 0.5000
Pt 0.0000 0.5000 0.0000
Li 0.0000 0.0000 0.0000

Properties
Calculated density in kg/m³: 8690

Q: Which of them is the most stable? A: i.

i.
A plane-wave DFT calculation with PBE was carried out for a relaxed structure of LiPuTlPb.

abc: 3.7306 5.3267 5.3461
angles: 90.00 90.00 90.00
Last column: magnetic moment on the atom in μB.
Sites, in units of the cell vectors:
Li 0.0000 0.0000 0.0000  0.00
Pu 0.0000 0.5000 0.5000  5.44
Tl 0.5000 0.5000 0.0000  0.03
Pb 0.5000 0.0000 0.5000  -0.03

Properties
Calculated density in kg/m³: 10355

ii.
A plane-wave DFT calculation with PBE was carried out for a relaxed structure of LiPuTlPb.

abc: 5.3361 5.3361 5.3361
angles: 60.00 60.00 60.00
Last column: magnetic moment on the atom in μB.
Sites, in units of the cell vectors:
Pb 0.2500 0.2500 0.2500  0.02
Tl 0.5000 0.5000 0.5000  0.00
Li 0.7500 0.7500 0.7500  0.03
Pu 0.0000 0.0000 0.0000  5.63

Properties
Calculated density in kg/m³: 10240

Q: Which of them is the most stable? A: i.

i.
A plane-wave DFT calculation with PBE was carried out for a relaxed structure of RbLiPb2.

abc: 5.8554 5.8554 10.9379
angles: 74.47 74.47 90.00
Sites, in units of the cell vectors:
Pb 0.4206 0.1250 0.2500
Pb 0.3294 0.6250 0.2500
Pb 0.3750 0.5794 0.7500
Pb 0.8750 0.6706 0.7500
Rb 0.0000 0.0000 0.0000
Rb 0.7500 0.2500 0.5000
Li 0.5000 0.5000 0.0000
Li 0.2500 0.7500 0.5000

Properties
Calculated density in kg/m³: 4849

ii.
A plane-wave DFT calculation with PBE was carried out for a relaxed structure of RbLiPb2.

abc: 4.8624 4.8624 9.2756
angles: 74.80 74.80 60.00
Sites, in units of the cell vectors:
Pb 0.1365 0.1365 0.5905
Pb 0.8635 0.8635 0.4095
Rb 0.0000 0.0000 0.0000
Li 0.5000 0.5000 0.5000

Properties
Calculated density in kg/m³: 4649

iii.
A plane-wave DFT calculation with PBE was carried out for a relaxed structure of RbLiPb2.

abc: 4.9833 6.4286 8.9959
angles: 110.98 90.00 90.00
Sites, in units of the cell vectors:
Rb 0.2500 0.2846 0.0786
Rb 0.7500 0.7154 0.9214
Li 0.7500 0.7366 0.4090
Li 0.2500 0.2634 0.5910
Pb 0.2500 0.8854 0.2776
Pb 0.7500 0.1146 0.7224
Pb 0.7500 0.2378 0.3979
Pb 0.2500 0.7622 0.6021

Properties
Calculated density in kg/m³: 6255

iv.
A plane-wave DFT calculation with PBE was carried out for a relaxed structure of RbLiPb2.

abc: 5.6499 5.6499 5.6499
angles: 60.00 60.00 60.00
Sites, in units of the cell vectors:
Pb 0.2500 0.2500 0.2500
Pb 0.7500 0.7500 0.7500
Rb 0.5000 0.5000 0.5000
Li 0.0000 0.0000 0.0000

Properties
Calculated density in kg/m³: 6599

Q: Which of them is the most stable? A: iii.